# Ir9Os2Ru

A geometry-optimized Ir9Os2Ru structure (PBE, Alexandria).

For the volume, the calculation gives 14.423 Å³/atom. The value obtained for the raw total energy is -9.276 eV/atom. For the magnetic moment, the calculation gives 0.0 μB/f.u.

The structure in CIF format:
```
data_Ir9Os2Ru
_cell_length_a 3.864
_cell_length_b 3.864
_cell_length_c 11.591
_cell_angle_alpha 90.00
_cell_angle_beta 90.00
_cell_angle_gamma 90.00
_space_group_name_H-M_alt 'P 4/m m m'
_space_group_IT_number 123
_space_group_name_Hall '-P 4 2'
loop_
_atom_site_label
_atom_site_type_symbol
_atom_site_fract_x
_atom_site_fract_y
_atom_site_fract_z
Ir1 Ir 0.000 0.000 0.000
Ir2 Ir 0.000 0.000 0.334
Ir3 Ir 0.000 0.500 0.167
Ir4 Ir 0.000 0.500 0.500
Os1 Os 0.500 0.500 0.332
Ru1 Ru 0.500 0.500 0.000
```

# IrOs6Ru2

A geometry-optimized IrOs6Ru2 structure (PBE, Alexandria).

For the volume, the calculation gives 14.810 Å³/atom. The value obtained for the raw total energy is -10.162 eV/atom. For the magnetic moment, the calculation gives 0.0 μB/f.u.

The structure in CIF format:
```
data_IrOs6Ru2
_cell_length_a 9.138
_cell_length_b 11.647
_cell_length_c 5.076
_cell_angle_alpha 90.00
_cell_angle_beta 99.32
_cell_angle_gamma 90.00
_space_group_name_H-M_alt 'C 1 2/c 1'
_space_group_IT_number 15
_space_group_name_Hall '-C 2yc'
loop_
_atom_site_label
_atom_site_type_symbol
_atom_site_fract_x
_atom_site_fract_y
_atom_site_fract_z
Ir1 Ir 0.000 0.079 0.250
Os1 Os 0.049 0.311 0.012
Os2 Os 0.151 0.119 0.819
Os3 Os 0.245 0.325 0.694
Ru1 Ru 0.134 0.483 0.379
```

# Ir4Os2Ru3

A geometry-optimized Ir4Os2Ru3 structure (PBE, Alexandria).

For the volume, the calculation gives 14.252 Å³/atom. The value obtained for the energy above the most stable polymorph in this dataset is 0.000 eV/atom. For the magnetic moment, the calculation gives 0.0 μB/f.u.

The structure in CIF format:
```
data_Ir4Os2Ru3
_cell_length_a 4.762
_cell_length_b 7.009
_cell_length_c 8.472
_cell_angle_alpha 71.70
_cell_angle_beta 73.73
_cell_angle_gamma 89.94
_space_group_name_H-M_alt 'P -1'
_space_group_IT_number 2
_space_group_name_Hall '-P 1'
loop_
_atom_site_label
_atom_site_type_symbol
_atom_site_fract_x
_atom_site_fract_y
_atom_site_fract_z
Ir1 Ir 0.002 0.087 0.329
Ir2 Ir 0.113 0.860 0.110
Ir3 Ir 0.332 0.415 0.670
Ir4 Ir 0.444 0.195 0.444
Os1 Os 0.224 0.473 0.222
Os2 Os 0.336 0.251 0.999
Ru1 Ru 0.110 0.692 0.447
Ru2 Ru 0.222 0.635 0.892
Ru3 Ru 0.445 0.026 0.778
```

# Ir3OsRu

A geometry-optimized Ir3OsRu structure (PBE, Alexandria).

For the volume, the calculation gives 14.343 Å³/atom. The value obtained for the energy above the most stable polymorph in this dataset is 0.000 eV/atom. For the magnetic moment, the calculation gives 0.0 μB/f.u.

The structure in CIF format:
```
data_Ir3OsRu
_cell_length_a 4.724
_cell_length_b 5.450
_cell_length_c 6.102
_cell_angle_alpha 103.04
_cell_angle_beta 97.27
_cell_angle_gamma 106.77
_space_group_name_H-M_alt 'P -1'
_space_group_IT_number 2
_space_group_name_Hall '-P 1'
loop_
_atom_site_label
_atom_site_type_symbol
_atom_site_fract_x
_atom_site_fract_y
_atom_site_fract_z
Ir1 Ir 0.002 0.251 0.004
Ir2 Ir 0.202 0.650 0.402
Ir3 Ir 0.398 0.049 0.794
Os1 Os 0.198 0.150 0.399
Ru1 Ru 0.403 0.551 0.801
```

# Ir3OsRu2

A geometry-optimized Ir3OsRu2 structure (PBE, Alexandria).

For the volume, the calculation gives 15.105 Å³/atom. The value obtained for the energy above the most stable polymorph in this dataset is 0.270 eV/atom. For the magnetic moment, the calculation gives 0.0 μB/f.u.

The structure in CIF format:
```
data_Ir3OsRu2
_cell_length_a 11.568
_cell_length_b 7.504
_cell_length_c 4.416
_cell_angle_alpha 90.00
_cell_angle_beta 108.98
_cell_angle_gamma 90.00
_space_group_name_H-M_alt 'C 1 2/c 1'
_space_group_IT_number 15
_space_group_name_Hall '-C 2yc'
loop_
_atom_site_label
_atom_site_type_symbol
_atom_site_fract_x
_atom_site_fract_y
_atom_site_fract_z
Ir1 Ir 0.000 0.208 0.250
Ir2 Ir 0.200 0.391 0.578
Os1 Os 0.000 0.417 0.750
Ru1 Ru 0.121 0.111 0.847
```

# Ir7Os4Ru

A geometry-optimized Ir7Os4Ru structure (PBE, Alexandria).

For the volume, the calculation gives 16.149 Å³/atom. The value obtained for the raw total energy is -9.012 eV/atom. For the magnetic moment, the calculation gives 0.0 μB/f.u.

The structure in CIF format:
```
data_Ir7Os4Ru
_cell_length_a 10.698
_cell_length_b 4.563
_cell_length_c 9.416
_cell_angle_alpha 90.00
_cell_angle_beta 122.53
_cell_angle_gamma 90.00
_space_group_name_H-M_alt 'C 1 2/m 1'
_space_group_IT_number 12
_space_group_name_Hall '-C 2y'
loop_
_atom_site_label
_atom_site_type_symbol
_atom_site_fract_x
_atom_site_fract_y
_atom_site_fract_z
Ir1 Ir 0.000 0.000 0.000
Ir2 Ir 0.077 0.500 0.352
Ir3 Ir 0.141 0.000 0.556
Ir4 Ir 0.216 0.500 0.905
Os1 Os 0.064 0.000 0.770
Os2 Os 0.214 0.000 0.316
Ru1 Ru 0.000 0.500 0.000
```

# Ir9OsRu2

A geometry-optimized Ir9OsRu2 structure (PBE, Alexandria).

For the volume, the calculation gives 14.388 Å³/atom. The value obtained for the raw total energy is -9.133 eV/atom. For the magnetic moment, the calculation gives 0.0 μB/f.u.

The structure in CIF format:
```
data_Ir9OsRu2
_cell_length_a 3.861
_cell_length_b 3.861
_cell_length_c 11.583
_cell_angle_alpha 90.00
_cell_angle_beta 90.00
_cell_angle_gamma 90.00
_space_group_name_H-M_alt 'P 4/m m m'
_space_group_IT_number 123
_space_group_name_Hall '-P 4 2'
loop_
_atom_site_label
_atom_site_type_symbol
_atom_site_fract_x
_atom_site_fract_y
_atom_site_fract_z
Ir1 Ir 0.000 0.000 0.000
Ir2 Ir 0.000 0.000 0.333
Ir3 Ir 0.000 0.500 0.166
Ir4 Ir 0.000 0.500 0.500
Os1 Os 0.500 0.500 0.000
Ru1 Ru 0.500 0.500 0.335
```

# Ir5Os2Ru4

A geometry-optimized Ir5Os2Ru4 structure (PBE, Alexandria).

For the volume, the calculation gives 14.247 Å³/atom. The value obtained for the raw total energy is -9.446 eV/atom. For the magnetic moment, the calculation gives 0.0 μB/f.u.

The structure in CIF format:
```
data_Ir5Os2Ru4
_cell_length_a 13.872
_cell_length_b 3.848
_cell_length_c 6.088
_cell_angle_alpha 90.00
_cell_angle_beta 105.31
_cell_angle_gamma 90.00
_space_group_name_H-M_alt 'C 1 2/m 1'
_space_group_IT_number 12
_space_group_name_Hall '-C 2y'
loop_
_atom_site_label
_atom_site_type_symbol
_atom_site_fract_x
_atom_site_fract_y
_atom_site_fract_z
Ir1 Ir 0.000 0.000 0.000
Ir2 Ir 0.135 0.500 0.181
Ir3 Ir 0.226 0.500 0.639
Os1 Os 0.089 0.000 0.458
Ru1 Ru 0.045 0.500 0.724
Ru2 Ru 0.183 0.000 0.908
```